[1]
## InIr3Os (SCAN)

Data for InIr3Os at its PBEsol-relaxed geometry.

## Properties
- DFT total energy (eV per atom) = -60.704

Cell lengths 4.700, 4.700, 4.700 Å; angles 90.00, 90.00, 90.00 degrees
Fractional positions:
In1 0.000 0.000 0.000
Ir1 0.000 0.000 0.500
Ir2 0.000 0.500 0.000
Ir3 0.500 0.000 0.000
Os1 0.500 0.500 0.500

***

[2]
## InP2Ir (SCAN)

Data for InP2Ir at its PBEsol-relaxed geometry.

## Properties
- DFT total energy (eV per atom) = -30.687

Cell lengths 2.907, 4.633, 4.730 Å; angles 90.00, 90.00, 90.00 degrees
Fractional positions:
In1 0.000 0.000 0.000
P1 0.000 0.500 0.500
P2 0.500 0.000 0.500
Ir1 0.500 0.500 0.000

***

[3]
## InPIr2 (SCAN)

Data for InPIr2 at its PBEsol-relaxed geometry.

## Properties
- DFT total energy (eV per atom) = -46.229

Cell lengths 4.166, 4.166, 3.475 Å; angles 90.00, 90.00, 90.00 degrees
Fractional positions:
In1 0.000 0.000 0.000
P1 0.500 0.500 0.000
Ir1 0.000 0.500 0.500
Ir2 0.500 0.000 0.500

***

[4]
## InIr2Pb (SCAN)

Data for InIr2Pb at its PBEsol-relaxed geometry.

## Properties
- DFT total energy (eV per atom) = -62.445
- relative energy among the computed polymorphs (eV per atom) = 0.000

Cell lengths 6.118, 6.118, 6.118 Å; angles 152.41, 135.06, 53.55 degrees
Fractional positions:
In1 0.000 0.000 0.000
Ir1 0.542 0.542 0.000
Ir2 0.747 0.247 0.500
Pb1 0.303 0.803 0.500

***

no.,formation enthalpy at 0 K (eV per atom)
1,3.009
2,0.634
3,0.267
4,0.397